K2Rb13 | PBE-GGA | relaxed

**Mass density**: 1.50 g cm⁻³
**Relative energy among the computed polymorphs**: 0 meV per atom
**SG**: P-1 (2)

Cell and atoms, written as extended XYZ:
```
15
Lattice="-2.037 -4.309 7.642 12.052 2.042 2.751 -8.382 9.184 4.018" Properties=species:S:1:pos:R:3 pbc="T T T"
K 1.925 3.086 11.579
K -0.292 3.830 2.832
Rb -1.737 7.600 10.972
Rb 3.370 -0.683 3.438
Rb 0.000 0.000 0.000
Rb -4.732 4.496 4.573
Rb 6.366 2.421 9.838
Rb -0.497 7.678 5.649
Rb 2.131 -0.762 8.762
Rb 3.056 3.315 6.241
Rb -1.423 3.602 8.169
Rb 2.796 7.102 9.172
Rb -1.162 -0.186 5.239
Rb -5.927 4.397 9.894
Rb 7.561 2.519 4.516
```